BaCd8Hg4: relaxed, PBE.

abc: 8.965 8.965 8.965
angles: 50.21 50.21 50.21
Element x y z (fractional)
Ba1 0.000 0.000 0.000
Cd1 0.131 0.741 0.741
Cd2 0.245 0.245 0.245
Cd3 0.259 0.259 0.869
Cd4 0.259 0.869 0.259
Cd5 0.741 0.131 0.741
Cd6 0.741 0.741 0.131
Cd7 0.755 0.755 0.755
Cd8 0.869 0.259 0.259
Hg1 0.000 0.500 0.500
Hg2 0.500 0.000 0.500
Hg3 0.500 0.500 0.000
Hg4 0.500 0.500 0.500

Summary:
VASP energy   -10.05 eV/cell
Magnetization   0.000 μB per atom
ΔH_f (0 K)   0.03 eV/atom
Crystal system   trigonal